Density functional theory data (GGA-PBE) for a geometry-optimized Na2TbGaI6 structure.

As for the formation energy without anion corrections: -1.119 eV/atom.

The structure belongs to space group R3 (No. 146, hexagonal axes); the cell edges are 8.0429, 8.0429 and 21.9498 Å and the angles 90.00°, 90.00° and 120.00°. The inequivalent atoms are Na at (0.0000, 0.0000, 0.0000), Na at (0.0000, 0.0000, 0.4905), Tb at (0.0000, 0.0000, 0.6802), Ga at (0.0000, 0.0000, 0.1881), I at (0.0036, 0.6999, 0.5942) and I at (0.0060, 0.3600, 0.4229).